1.
GdMnRh2 GGA-PBE relaxed; calculated formation energy = -429.1 meV/atom; D(E_F) = 2.21 states/eV/cell
1.0
0.000 3.266 3.266
3.266 0.000 3.266
3.266 3.266 0.000
Gd Mn Rh
1 1 2
Direct
0.000 0.000 0.000
0.500 0.500 0.500
0.250 0.250 0.250
0.750 0.750 0.750

=====

2.
GdMnRh2 GGA-PBE relaxed; calculated formation energy = -401.3 meV/atom; D(E_F) = 1.42 states/eV/cell
1.0
3.288 0.000 0.000
0.000 3.288 0.000
0.000 0.000 6.437
Gd Mn Rh
1 1 2
Direct
0.000 0.000 0.000
0.000 0.000 0.500
0.500 0.500 0.278
0.500 0.500 0.722

=====

Question: Look up the D(E_F) of the second one.
Answer: 1.42 states/eV/cell

=====

Question: Which formula does entry 1 have?
Answer: GdMnRh2

=====

Question: What is the D(E_F) in the first record?
Answer: 2.21 states/eV/cell